VASP calculation (meta-GGA SCAN) on a crystal of LiFeTc relaxed with PBEsol.

- crystal system = orthorhombic
- volume (Å³ per cell) = 39.2
- spin magnetization (μB/atom) = 0.931
- formation enthalpy at 0 K (eV/atom) = 0.215

```
LiFeTc
1.0
-1.471 0.719 -1.902
1.061 -2.185 -0.630
-4.830 -2.484 3.942
Fe Li Tc
1 1 1
Cartesian
-5.193 -3.921 1.385 Fe
-1.852 -1.786 -0.390 Li
-3.432 -2.193 1.824 Tc
```


VASP calculation (meta-GGA SCAN) on a crystal of LiFeTc2 relaxed with PBEsol.

- crystal system = orthorhombic
- volume (Å³ per cell) = 48.2
- spin magnetization (μB/atom) = 0.461
- formation enthalpy at 0 K (eV/atom) = 0.274

```
LiFeTc2
1.0
-1.338 0.237 -2.171
1.761 -3.487 -1.466
-3.345 -2.443 1.793
Fe Li Tc
1 1 2
Cartesian
-2.082 -1.065 0.033 Fe
-2.241 -3.568 -0.143 Li
-4.365 -2.126 -0.187 Tc
-1.259 -2.243 -2.114 Tc
```


VASP calculation (meta-GGA SCAN) on a crystal of LiFeTc3 relaxed with PBEsol.

- crystal system = cubic
- volume (Å³ per cell) = 64.3
- spin magnetization (μB/atom) = 0.266
- formation enthalpy at 0 K (eV/atom) = 1.228

```
LiFeTc3
1.0
-0.376 2.197 -3.329
-2.138 -2.934 -1.695
-3.367 1.617 1.448
Li Tc Fe
1 3 1
Cartesian
0.000 0.000 0.000 Li
-1.069 -1.467 -0.847 Tc
-1.684 0.808 0.724 Tc
-0.188 1.099 -1.664 Tc
-2.941 0.440 -1.788 Fe
```


VASP calculation (meta-GGA SCAN) on a crystal of LiFeTc2 relaxed with PBEsol.

- crystal system = cubic
- volume (Å³ per cell) = 49.1
- spin magnetization (μB/atom) = 0.755
- formation enthalpy at 0 K (eV/atom) = 0.198

```
LiFeTc2
1.0
4.111 0.000 0.000
-2.056 3.557 0.136
0.000 2.244 3.445
Fe Li Tc
1 1 2
Cartesian
2.056 1.122 1.722 Fe
2.056 3.461 2.652 Li
0.000 0.000 0.000 Tc
0.000 2.340 0.929 Tc
```